(1)
Compound: YPuMnFe
Source: the Alexandria database
Functional: PBE
Structure: optimized geometry

a b c (Å): 6.740 6.740 6.740
angles (deg): 90.00 90.00 90.00
Space group F-43m (No. 216)
Inequivalent atoms, fractional coordinates:
Y (0.000, 0.000, 0.000)
Pu (0.000, 0.000, 0.500)
Mn (0.250, 0.250, 0.250)
Fe (0.250, 0.250, 0.750)

Computed properties:
- volume (Å³/f.u.) = 76.5
- E (eV per atom) = -9.485
- theoretical density (Mg/m³) = 9.6
- size of the total moment (μB/f.u.) = 1.3

***

(2)
Compound: Li2FeSi
Source: the Alexandria database
Functional: PBE
Structure: optimized geometry

a b c (Å): 3.392 3.392 8.692
angles (deg): 90.00 90.00 90.00
Space group I4/mmm (No. 139)
Inequivalent atoms, fractional coordinates:
Li (0.000, 0.500, 0.250)
Fe (0.000, 0.000, 0.000)
Si (0.000, 0.000, 0.500)

Computed properties:
- raw formation energy (meV/atom) = -29.0
- volume (Å³/f.u.) = 50.0
- theoretical density (Mg/m³) = 3.2
- size of the total moment (μB/f.u.) = 1.9

***

(3)
Compound: SrLiLaRh
Source: the Alexandria database
Functional: PBE
Structure: optimized geometry

a b c (Å): 7.409 7.409 7.409
angles (deg): 90.00 90.00 90.00
Space group F-43m (No. 216)
Inequivalent atoms, fractional coordinates:
Sr (0.000, 0.000, 0.000)
Li (0.250, 0.250, 0.250)
La (0.000, 0.000, 0.500)
Rh (0.250, 0.250, 0.750)

Computed properties:
- volume (Å³/f.u.) = 101.7
- E (eV per atom) = -4.172
- theoretical density (Mg/m³) = 5.5
- size of the total moment (μB/f.u.) = 0.0

***

(4)
Compound: Tm2Sc2Cd3
Source: the Alexandria database
Functional: PBE
Structure: optimized geometry

a b c (Å): 4.537 22.851 3.239
angles (deg): 90.00 90.00 90.00
Space group Cmmm (No. 65)
Inequivalent atoms, fractional coordinates:
Tm (0.000, 0.073, 0.000)
Sc (0.000, 0.208, 0.000)
Cd (0.000, 0.346, 0.500)
Cd (0.000, 0.500, 0.500)

Computed properties:
- volume (Å³/f.u.) = 167.9
- E (eV per atom) = -3.607
- theoretical density (Mg/m³) = 7.6
- size of the total moment (μB/f.u.) = 0.0

***

(5)
Compound: CaAc6Pr2
Source: the Alexandria database
Functional: PBE
Structure: optimized geometry

a b c (Å): 6.840 19.223 6.527
angles (deg): 90.00 117.14 90.00
Space group C2/m (No. 12)
Inequivalent atoms, fractional coordinates:
Ca (0.000, 0.000, 0.000)
Ac (0.171, 0.334, 0.831)
Ac (0.190, 0.500, 0.345)
Pr (0.000, 0.169, 0.500)

Computed properties:
- energy above the most stable polymorph in this dataset (meV/atom) = 27.7
- volume (Å³/f.u.) = 381.9
- theoretical density (Mg/m³) = 7.3
- size of the total moment (μB/f.u.) = 0.0

***

(6)
Compound: KRb2TeF6
Source: the Alexandria database
Functional: PBE
Structure: optimized geometry

a b c (Å): 6.882 6.882 9.288
angles (deg): 90.00 90.00 90.00
Space group I4/mmm (No. 139)
Inequivalent atoms, fractional coordinates:
K (0.000, 0.000, 0.000)
Rb (0.000, 0.500, 0.250)
Te (0.000, 0.000, 0.500)
F (0.000, 0.000, 0.273)
F (0.238, 0.238, 0.500)

Computed properties:
- raw formation energy (meV/atom) = -2283.2
- energy above the most stable polymorph in this dataset (meV/atom) = 40.5
- volume (Å³/f.u.) = 220.0
- theoretical density (Mg/m³) = 3.4
- size of the total moment (μB/f.u.) = 1.0

***

(7)
Compound: Sr2ZnPt
Source: the Alexandria database
Functional: PBE
Structure: optimized geometry

a b c (Å): 8.285 8.285 7.414
angles (deg): 90.00 90.00 90.00
Space group I-42d (No. 122)
Inequivalent atoms, fractional coordinates:
Sr (0.222, 0.750, 0.125)
Zn (0.000, 0.000, 0.500)
Pt (0.000, 0.000, 0.000)

Computed properties:
- volume (Å³/f.u.) = 127.2
- E (eV per atom) = -2.863
- theoretical density (Mg/m³) = 5.7
- size of the total moment (μB/f.u.) = 0.0

***

(8)
Compound: NdInNi4
Source: the Alexandria database
Functional: PBE
Structure: optimized geometry

a b c (Å): 7.154 7.154 7.154
angles (deg): 90.00 90.00 90.00
Space group F-43m (No. 216)
Inequivalent atoms, fractional coordinates:
Nd (0.000, 0.000, 0.000)
In (0.250, 0.250, 0.250)
Ni (0.124, 0.124, 0.624)

Computed properties:
- volume (Å³/f.u.) = 91.5
- E (eV per atom) = -5.420
- theoretical density (Mg/m³) = 9.0
- size of the total moment (μB/f.u.) = 0.0